(1)
Below is a geometry-optimized Y3Er6TmTh2 structure, with properties calculated at the PBE level.

Properties
The calculation puts the calculated total energy at -5.483 eV per atom. The space group is C2/m. Its energy of formation is 0.023 eV per atom. The value obtained for the density of states at the Fermi level is 16.86 states/eV/cell.

a = 6.1256 Å, b = 6.1256 Å, c = 11.7105 Å
α = 95.01°, β = 95.01°, γ = 119.96°
Fractional positions:
Y  0.1664  0.8336  0.5000
Y  0.8336  0.1664  0.5000
Y  0.5000  0.5000  0.5000
Er  0.9174  0.5814  0.7532
Er  0.7461  0.7461  0.2470
Er  0.0826  0.4186  0.2468
Er  0.5814  0.9174  0.7532
Er  0.2539  0.2539  0.7530
Er  0.4186  0.0826  0.2468
Tm  0.0000  0.0000  0.0000
Th  0.3333  0.6667  0.0000
Th  0.6667  0.3333  0.0000

(2)
Below is a geometry-optimized Y6ErTm2Th structure, with properties calculated at the PBE level.

Properties
The calculation puts the calculated total energy at -5.823 eV per atom. The space group is C2/c. Its energy of formation is 0.148 eV per atom. The value obtained for the density of states at the Fermi level is 30.62 states/eV/cell.

a = 9.2284 Å, b = 8.8453 Å, c = 8.8453 Å
α = 116.48°, β = 92.24°, γ = 92.24°
Fractional positions:
Y  0.0585  0.1203  0.7724
Y  0.4415  0.2276  0.8797
Y  0.9415  0.8797  0.2276
Y  0.5585  0.7724  0.1203
Y  0.3114  0.9966  0.4352
Y  0.1886  0.5648  0.0034
Y  0.6886  0.0034  0.5648
Y  0.8114  0.4352  0.9966
Y  0.1065  0.7142  0.4806
Y  0.3935  0.5194  0.2858
Y  0.8935  0.2858  0.5194
Y  0.6065  0.4806  0.7142
Er  0.2500  0.4168  0.5832
Er  0.7500  0.5832  0.4168
Tm  0.4430  0.7974  0.6918
Tm  0.0570  0.3082  0.2026
Tm  0.5570  0.2026  0.3082
Tm  0.9430  0.6918  0.7974
Th  0.2500  0.9660  0.0340
Th  0.7500  0.0340  0.9660